First-principles (PBE) data for crystalline HoCd5Hg5 at its relaxed geometry, as listed in Alexandria via LeMat-Bulk.

The space group is P-1 (No. 2) and the conventional cell measures 4.944, 6.313 and 8.833 Å, with angles of 94.18, 90.04 and 90.96 degrees. The asymmetric unit holds Ho at (0.000, 0.000, 0.000), Cd at (0.009, 0.340, 0.354), Cd at (0.498, 0.713, 0.162), Cd at (0.500, 0.000, 0.500), Hg at (0.000, 0.500, 0.000), Hg at (0.002, 0.182, 0.664) and Hg at (0.496, 0.783, 0.819).

For the energy of formation, the calculation gives -82 meV per atom. The value obtained for the density is 10.45 g/cm³. As for the total magnetic moment: 0.000 μB/f.u.